[1]
ZrCr2Pb, relaxed, DFT GGA-PBE; crystal system = tetragonal; space-group type = No. 99; M_tot = 0.9 μB/f.u.; energy of formation from the pure elements = 235 meV per atom
1.0
3.107 0.000 0.000
0.000 3.107 0.000
0.000 0.000 7.618
Zr Cr Pb
1 2 1
Cartesian
0.000 0.000 0.000
0.000 0.000 3.044
1.553 1.553 1.893
1.553 1.553 5.120



[2]
YAsBr2, relaxed, DFT GGA-PBE; formation energy without anion corrections = -0.855 eV per atom; crystal system = tetragonal; polymorph energy (0 for the lowest one) = 264 meV per atom; space-group type = No. 122; M_tot = 2.0 μB/f.u.
1.0
-5.014 5.014 2.919
5.014 -5.014 2.919
5.014 5.014 -2.919
Y As Br
2 2 4
Cartesian
0.000 0.000 0.000
0.000 5.014 1.460
5.014 0.000 1.460
0.000 0.000 2.919
1.143 2.507 0.730
-2.507 3.871 2.189
-1.143 7.521 0.730
2.507 6.157 2.189



[3]
Mg2FeHg, relaxed, DFT GGA-PBE; crystal system = cubic; space-group type = No. 216; M_tot = 2.4 μB/f.u.; energy of formation from the pure elements = 203 meV per atom
1.0
0.000 3.304 3.304
3.304 0.000 3.304
3.304 3.304 0.000
Mg Fe Hg
2 1 1
Cartesian
0.000 0.000 0.000
1.652 1.652 1.652
4.955 4.955 4.955
3.304 3.304 3.304



| no. | DOS(E_F) (states/eV per atom) |
| --- | --- |
| 1 | 0.820 |
| 2 | 0.051 |
| 3 | 1.334 |